# PaTiCl6, relaxed, DFT GGA-PBE
# DOS at the Fermi energy: 1.467 states/eV per atom
# formation energy (no corrections): -1.655 eV/atom
# energy above the most stable polymorph in this dataset: 38 meV/atom
data_PaTiCl6
_cell_length_a 6.6961
_cell_length_b 6.6961
_cell_length_c 17.8786
_cell_angle_alpha 90.00
_cell_angle_beta 90.00
_cell_angle_gamma 120.00
_space_group_name_H-M_alt 'R -3'
_space_group_IT_number 148
_space_group_name_Hall '-R 3'
loop_
_atom_site_label
_atom_site_type_symbol
_atom_site_fract_x
_atom_site_fract_y
_atom_site_fract_z
_atom_site_occupancy
Pa1 Pa 0.0000 0.0000 0.0000 1
Ti1 Ti 0.0000 0.0000 0.5000 1
Cl1 Cl 0.0126 0.6352 0.2468 1